## Pr3AgSn2 (PBE-GGA)

Data for Pr3AgSn2 after structural relaxation.

Calculated values
The calculated formation energy comes out at -59 kJ per mole of atoms. As for the space group: Pnma.

a = 4.7327 Å, b = 11.9675 Å, c = 12.7237 Å
α = 90.00°, β = 90.00°, γ = 90.00°
Each line ends with the local moment (μB).
Fractional positions:
Sn 0.7500 0.0100 0.6815  -0.01
Sn 0.2500 0.6790 0.4920  0.00
Sn 0.7500 0.1790 0.0080  0.00
Sn 0.7500 0.4900 0.1815  -0.01
Sn 0.2500 0.9900 0.3185  -0.01
Sn 0.7500 0.3210 0.5080  0.00
Sn 0.2500 0.8210 0.9920  0.00
Sn 0.2500 0.5100 0.8185  -0.01
Pr 0.7500 0.9303 0.1370  0.09
Pr 0.2500 0.1311 0.5459  0.09
Pr 0.7500 0.8689 0.4541  0.09
Pr 0.2500 0.6940 0.2190  0.13
Pr 0.7500 0.5697 0.6370  0.09
Pr 0.2500 0.4303 0.3630  0.09
Pr 0.2500 0.8060 0.7190  0.13
Pr 0.2500 0.3689 0.0459  0.09
Pr 0.7500 0.1940 0.2810  0.13
Pr 0.2500 0.0697 0.8630  0.09
Pr 0.7500 0.6311 0.9541  0.09
Pr 0.7500 0.3060 0.7810  0.13
Ag 0.7500 0.6137 0.3774  0.02
Ag 0.2500 0.3863 0.6226  0.02
Ag 0.7500 0.8863 0.8774  0.02
Ag 0.2500 0.1137 0.1226  0.02